Below is Li2VSnP2O8 at its PBEsol-relaxed geometry, with properties calculated at the meta-GGA SCAN level.

## Properties
E_form (uncorrected) = -2325 meV per atom
total magnetization = 3.00 μB/f.u.
total energy = -11.528 eV/atom
theoretical density = 3.77 g/cm³

The structure in CIF format:
```
data_Li2VSnP2O8
_chemical_formula_sum 'Li4 V2 Sn2 P4 O16'
_cell_length_a 4.7454
_cell_length_b 6.1654
_cell_length_c 11.2593
_cell_angle_alpha 90.00
_cell_angle_beta 90.72
_cell_angle_gamma 90.00
_space_group_name_H-M_alt 'P 1 21/m 1'
_space_group_IT_number 11
loop_
_space_group_symop_operation_xyz
'x,y,z'
'-x,-y,-z'
'-x,y+1/2,-z'
'x,-y+1/2,z'
loop_
_atom_site_label
_atom_site_type_symbol
_atom_site_fract_x
_atom_site_fract_y
_atom_site_fract_z
_atom_site_occupancy
Li1 Li 0.0000 0.0000 0.0000 1
Li2 Li 0.5000 0.0000 0.5000 1
V1 V 0.0626 0.2500 0.2930 1
Sn1 Sn 0.4923 0.2500 0.7733 1
P1 P 0.0789 0.7500 0.4269 1
P2 P 0.3500 0.7500 0.8784 1
O1 O 0.1932 0.7500 0.5562 1
O2 O 0.2004 0.5499 0.8169 1
O3 O 0.2164 0.5477 0.3657 1
O4 O 0.2447 0.2500 0.5862 1
O5 O 0.2545 0.7500 0.0087 1
O6 O 0.3302 0.2500 0.1360 1
```